No. 1
VASP calculation (PBE-GGA) on a relaxed structure of MnBe2Co.

- Calculated formation energy: -0.31 eV per formula unit
- Density of states at the Fermi level: 3.632 states/eV/f.u.
- Calculated volume: 37 Å³/cell

a = 2.3375 Å, b = 2.3375 Å, c = 7.0905 Å
α = 90.00°, β = 90.00°, γ = 105.46°
Closest atoms and distances in Å follow each position.
Fractional coordinates of all 4 atoms:
Be: 0.0000 0.0000 0.0050  2 Co 2.24, 2 Mn 2.30, 4 Be 2.34
Be: 0.0000 0.0000 0.4950  2 Co 2.24, 2 Mn 2.30, 4 Be 2.34
Mn: 0.5000 0.5000 0.7500  4 Be 2.30, 4 Mn 2.34
Co: 0.5000 0.5000 0.2500  4 Be 2.24, 4 Co 2.34

---

No. 2
VASP calculation (PBE-GGA) on a relaxed structure of Mn2BeCo.

- Calculated formation energy: 0.39 eV per formula unit
- Density of states at the Fermi level: 3.725 states/eV/f.u.
- Calculated volume: 41 Å³/cell

a = 8.0328 Å, b = 8.0328 Å, c = 8.0328 Å
α = 17.51°, β = 17.51°, γ = 17.51°
Closest atoms and distances in Å follow each position.
Fractional coordinates of all 4 atoms:
Be: 0.2500 0.2500 0.2500  6 Mn 2.40, 6 Be 2.45
Co: 0.7500 0.7500 0.7500  6 Co 2.45, 6 Mn 2.46
Mn: 0.9982 0.9982 0.9982  3 Be 2.40, 6 Mn 2.45, 3 Co 2.46
Mn: 0.5018 0.5018 0.5018  3 Be 2.40, 6 Mn 2.45, 3 Co 2.46

---

No. 3
VASP calculation (PBE-GGA) on a relaxed structure of MnBeCo2.

- Calculated formation energy: 0.00 eV per formula unit
- Density of states at the Fermi level: 4.166 states/eV/f.u.
- Calculated volume: 42 Å³/cell

a = 3.8480 Å, b = 2.4519 Å, c = 4.5071 Å
α = 82.10°, β = 90.00°, γ = 90.00°
Closest atoms and distances in Å follow each position.
Fractional coordinates of all 4 atoms:
Co: 0.0000 0.9835 0.9876  2 Be 2.31, 5 Co 2.35-2.56, 2 Mn 2.40
Mn: 0.5000 0.2500 0.2500  4 Co 2.40, 2 Be 2.41, 2 Mn 2.45
Be: 0.5000 0.7500 0.7500  4 Co 2.31, 2 Mn 2.41, 2 Be 2.45
Co: 0.0000 0.5165 0.5124  2 Be 2.31, 5 Co 2.35-2.56, 2 Mn 2.40

---

No. 4
VASP calculation (PBE-GGA) on a relaxed structure of MnBe2Co.

- Calculated formation energy: -0.50 eV per formula unit
- Density of states at the Fermi level: 4.342 states/eV/f.u.
- Calculated volume: 38 Å³/cell

a = 3.7650 Å, b = 3.7651 Å, c = 3.7654 Å
α = 120.22°, β = 120.22°, γ = 89.62°
Closest atoms and distances in Å follow each position.
Fractional coordinates of all 4 atoms:
Co: 0.5000 0.5000 0.0000  4 Mn 2.30, 4 Be 2.30
Be: 0.2500 0.7500 0.5000  4 Be 2.30, 4 Co 2.30
Be: 0.0000 0.0000 0.0000  4 Mn 2.30, 4 Be 2.30
Mn: 0.7500 0.2500 0.5000  4 Co 2.30, 4 Be 2.30